SmHf2PtN4: relaxed, PBE.

The value obtained for the formation energy (no corrections) is -1.06 eV per atom. As for the uncorrected energy: -9.0592 eV per atom.

Lattice parameters (Å, degrees): 5.843 5.843 11.544 90.00 90.00 147.56
Element x y z (fractional)
Sm  0.121  0.879  0.750
Sm  0.879  0.121  0.250
Hf  0.369  0.631  0.550
Hf  0.369  0.631  0.950
Hf  0.631  0.369  0.050
Hf  0.631  0.369  0.450
Pt  0.144  0.856  0.250
Pt  0.856  0.144  0.750
N  0.000  0.000  0.000
N  0.000  0.000  0.500
N  0.270  0.730  0.104
N  0.270  0.730  0.396
N  0.469  0.531  0.750
N  0.531  0.469  0.250
N  0.730  0.270  0.604
N  0.730  0.270  0.896

TaInPS2: relaxed, PBE.

For the energy above the most stable polymorph in this dataset, the calculation gives 35.53 kcal/mol of atoms. The value obtained for the formation energy (no corrections) is 1.28 eV per atom. As for the uncorrected energy: -4.3665 eV per atom.

Lattice parameters (Å, degrees): 5.046 5.046 5.137 90.00 90.00 90.00
Element x y z (fractional)
Ta  0.000  0.000  0.000
In  0.500  0.500  0.500
P  0.500  0.500  0.000
S  0.000  0.500  0.500
S  0.500  0.000  0.500

Mg5HgPd6: relaxed, PBE.

As for the energy of formation from the pure elements: -0.658 eV/atom. As for the uncorrected energy: -3.9438 eV per atom.

Lattice parameters (Å, degrees): 6.833 6.833 7.033 90.00 90.00 143.15
Element x y z (fractional)
Mg  0.000  0.000  0.000
Mg  0.333  0.667  0.000
Mg  0.336  0.664  0.500
Mg  0.664  0.336  0.500
Mg  0.667  0.333  0.000
Hg  0.000  0.000  0.500
Pd  0.170  0.830  0.245
Pd  0.170  0.830  0.755
Pd  0.500  0.500  0.234
Pd  0.500  0.500  0.766
Pd  0.830  0.170  0.245
Pd  0.830  0.170  0.755

Th5Sb4Se: relaxed, PBE.

The value obtained for the formation energy (no corrections) is -1.00 eV per atom. As for the uncorrected energy: -6.7081 eV per atom.

Lattice parameters (Å, degrees): 16.047 16.047 16.047 164.05 164.05 22.63
Element x y z (fractional)
Th  0.000  0.000  0.000
Th  0.202  0.202  0.000
Th  0.406  0.406  0.000
Th  0.594  0.594  0.000
Th  0.798  0.798  0.000
Sb  0.101  0.101  0.000
Sb  0.304  0.304  0.000
Sb  0.696  0.696  0.000
Sb  0.899  0.899  0.000
Se  0.500  0.500  0.000

Pm8DyGe6: relaxed, PBE.

As for the energy of formation from the pure elements: -0.607 eV/atom. As for the uncorrected energy: -5.2945 eV per atom.

Lattice parameters (Å, degrees): 9.285 9.285 9.285 50.59 50.59 50.59
Element x y z (fractional)
Pm  0.047  0.382  0.717
Pm  0.167  0.167  0.167
Pm  0.283  0.953  0.618
Pm  0.382  0.717  0.047
Pm  0.618  0.283  0.953
Pm  0.717  0.047  0.382
Pm  0.833  0.833  0.833
Pm  0.953  0.618  0.283
Dy  0.500  0.500  0.500
Ge  0.101  0.761  0.432
Ge  0.239  0.568  0.899
Ge  0.432  0.101  0.761
Ge  0.568  0.899  0.239
Ge  0.761  0.432  0.101
Ge  0.899  0.239  0.568

BaY2P: relaxed, PBE.

As for the energy of formation from the pure elements: -0.003 eV/atom. As for the uncorrected energy: -5.0686 eV per atom.

Lattice parameters (Å, degrees): 6.526 6.526 3.822 106.82 106.82 117.31
Element x y z (fractional)
Ba  0.000  0.000  0.000
Y  0.000  0.500  0.500
Y  0.500  0.000  0.500
P  0.500  0.500  0.000

SrNF2: relaxed, PBE.

For the energy above the most stable polymorph in this dataset, the calculation gives 4.02 kcal/mol of atoms. The value obtained for the formation energy (no corrections) is -1.36 eV per atom. As for the uncorrected energy: -4.8001 eV per atom.

Lattice parameters (Å, degrees): 7.873 7.873 7.873 143.16 143.16 53.09
Element x y z (fractional)
Sr  0.000  0.000  0.000
Sr  0.750  0.250  0.500
N  0.250  0.750  0.500
N  0.500  0.500  0.000
F  0.055  0.625  0.930
F  0.375  0.305  0.430
F  0.695  0.125  0.070
F  0.875  0.945  0.570

BOs3W: relaxed, PBE.

As for the energy of formation from the pure elements: 0.230 eV/atom. For the energy above the most stable polymorph in this dataset, the calculation gives 0.00 kcal/mol of atoms. As for the uncorrected energy: -10.4341 eV per atom.

Lattice parameters (Å, degrees): 4.079 4.079 4.079 90.00 90.00 90.00
Element x y z (fractional)
B  0.000  0.000  0.000
Os  0.000  0.000  0.500
Os  0.000  0.500  0.000
Os  0.500  0.000  0.000
W  0.500  0.500  0.500

Ca5Ga4Pb: relaxed, PBE.

As for the energy of formation from the pure elements: -0.458 eV/atom. As for the uncorrected energy: -3.0404 eV per atom.

Lattice parameters (Å, degrees): 3.722 3.722 18.650 90.00 90.00 90.00
Element x y z (fractional)
Ca  0.000  0.000  0.000
Ca  0.000  0.000  0.192
Ca  0.000  0.000  0.385
Ca  0.000  0.000  0.615
Ca  0.000  0.000  0.808
Ga  0.500  0.500  0.099
Ga  0.500  0.500  0.285
Ga  0.500  0.500  0.715
Ga  0.500  0.500  0.901
Pb  0.500  0.500  0.500

NdDy6Y2Tm3: relaxed, PBE.

As for the energy of formation from the pure elements: 0.021 eV/atom. As for the uncorrected energy: -4.8724 eV per atom.

Lattice parameters (Å, degrees): 6.136 6.136 11.752 94.98 94.98 119.94
Element x y z (fractional)
Nd  0.000  0.000  0.000
Dy  0.085  0.419  0.254
Dy  0.248  0.248  0.746
Dy  0.419  0.085  0.254
Dy  0.581  0.915  0.746
Dy  0.752  0.752  0.254
Dy  0.915  0.581  0.746
Y  0.333  0.667  0.000
Y  0.667  0.333  0.000
Tm  0.167  0.833  0.500
Tm  0.500  0.500  0.500
Tm  0.833  0.167  0.500

K2AsPt: relaxed, PBE.

As for the energy of formation from the pure elements: -0.424 eV/atom. As for the uncorrected energy: -3.6450 eV per atom.

Lattice parameters (Å, degrees): 6.077 6.077 5.727 118.02 118.02 42.80
Element x y z (fractional)
K  0.000  0.000  0.000
K  0.180  0.180  0.679
As  0.795  0.795  0.295
Pt  0.378  0.378  0.377

TcIrRu2: relaxed, PBE.

As for the energy of formation from the pure elements: 1.105 eV/atom. For the energy above the most stable polymorph in this dataset, the calculation gives 28.62 kcal/mol of atoms. As for the uncorrected energy: -8.3396 eV per atom.

Lattice parameters (Å, degrees): 6.754 6.754 6.754 131.69 131.69 70.72
Element x y z (fractional)
Tc  0.000  0.000  0.000
Tc  0.750  0.250  0.500
Ir  0.250  0.750  0.500
Ir  0.500  0.500  0.000
Ru  0.123  0.625  0.998
Ru  0.375  0.373  0.498
Ru  0.627  0.125  0.002
Ru  0.875  0.877  0.502

Question: Which of these has the lowest uncorrected energy?
Answer: BOs3W